1.
YZnTc2: optimized geometry, GGA-PBE.

Lattice parameters (Å, degrees): 3.2867 4.7332 4.6733 90.00 95.52 90.00
Closest atoms and distances in Å follow each position.
Element x y z (fractional)
Y: 0.0000 0.0000 0.0000  4 Zn 2.72-2.98, 4 Tc 2.92
Zn: 0.5000 0.0000 0.5000  4 Tc 2.70, 4 Y 2.72-2.98
Tc: 0.3414 0.5000 0.7438  2 Tc 2.52-2.60, 2 Zn 2.70
Tc: 0.6586 0.5000 0.2562  2 Tc 2.52-2.60, 2 Zn 2.70

Computed properties:
For the total energy, the calculation gives -6.88 eV per atom. As for the volume: 18.09 A^3/atom. The space group is P2/m. As for the density of states at the Fermi level: 3.15 states/eV/cell. The formation energy comes out at 0.236 eV/atom.


2.
YZnTc2: optimized geometry, GGA-PBE.

Lattice parameters (Å, degrees): 4.5986 4.5986 4.5986 60.00 60.00 60.00
Closest atoms and distances in Å follow each position.
Element x y z (fractional)
Y: 0.0000 0.0000 0.0000  4 Tc 2.82, 4 Zn 2.82
Zn: 0.7500 0.7500 0.7500  4 Tc 2.82, 4 Y 2.82
Tc: 0.2500 0.2500 0.2500  4 Tc 2.82, 4 Y 2.82
Tc: 0.5000 0.5000 0.5000  4 Tc 2.82, 4 Zn 2.82

Computed properties:
For the total energy, the calculation gives -7.00 eV per atom. As for the volume: 17.19 A^3/atom. The space group is F-43m. As for the density of states at the Fermi level: 3.37 states/eV/cell. The formation energy comes out at 0.116 eV/atom.


3.
YZnTc: optimized geometry, GGA-PBE.

Lattice parameters (Å, degrees): 4.4706 4.4706 4.4706 60.00 60.00 60.00
Closest atoms and distances in Å follow each position.
Element x y z (fractional)
Y: 0.0000 0.0000 0.0000  4 Zn 2.74
Zn: 0.2500 0.2500 0.2500  4 Tc 2.74, 4 Y 2.74
Tc: 0.5000 0.5000 0.5000  4 Zn 2.74

Computed properties:
For the total energy, the calculation gives -5.64 eV per atom. As for the volume: 21.06 A^3/atom. Its excess energy over the best structure of this formula in the dataset is 517 meV per atom. The space group is F-43m. As for the density of states at the Fermi level: 3.52 states/eV/cell. The formation energy comes out at 0.397 eV/atom.